The following is a DFT calculation (PBE) of a relaxed HoAl2Pd crystal.

a = 15.9331 Å, b = 6.9190 Å, c = 5.5181 Å
α = 90.00°, β = 90.00°, γ = 90.00°
With the nearest neighbours (Å) after each atom.
Positions (direct):
Ho  0.1075  0.2500  0.2289  3 Pd 2.88-3.11, 4 Al 3.08-3.11
Ho  0.1442  0.7500  0.4695  3 Pd 2.88-3.21, 6 Al 3.09-3.20
Ho  0.3558  0.2500  0.9695  3 Pd 2.88-3.21, 6 Al 3.09-3.20
Ho  0.3925  0.7500  0.7289  3 Pd 2.88-3.11, 4 Al 3.08-3.11
Ho  0.6075  0.2500  0.2711  3 Pd 2.88-3.11, 4 Al 3.08-3.11
Ho  0.6442  0.7500  0.0305  3 Pd 2.88-3.21, 6 Al 3.09-3.20
Ho  0.8558  0.2500  0.5305  3 Pd 2.88-3.21, 6 Al 3.09-3.20
Ho  0.8925  0.7500  0.7711  3 Pd 2.88-3.11, 4 Al 3.08-3.11
Al  0.0337  0.0527  0.7388  3 Pd 2.59-2.64, 1 Al 2.73
Al  0.0337  0.4473  0.7388  3 Pd 2.59-2.64, 1 Al 2.73
Al  0.2142  0.5552  0.9544  3 Pd 2.57-2.64, 1 Al 2.70
Al  0.2142  0.9448  0.9544  3 Pd 2.57-2.64, 1 Al 2.70
Al  0.2858  0.0552  0.4544  3 Pd 2.57-2.64, 1 Al 2.70
Al  0.2858  0.4448  0.4544  3 Pd 2.57-2.64, 1 Al 2.70
Al  0.4663  0.5527  0.2388  3 Pd 2.59-2.64, 1 Al 2.73
Al  0.4663  0.9473  0.2388  3 Pd 2.59-2.64, 1 Al 2.73
Al  0.5337  0.0527  0.7612  3 Pd 2.59-2.64, 1 Al 2.73
Al  0.5337  0.4473  0.7612  3 Pd 2.59-2.64, 1 Al 2.73
Al  0.7142  0.5552  0.5456  3 Pd 2.57-2.64, 1 Al 2.70
Al  0.7142  0.9448  0.5456  3 Pd 2.57-2.64, 1 Al 2.70
Al  0.7858  0.0552  0.0456  3 Pd 2.57-2.64, 1 Al 2.70
Al  0.7858  0.4448  0.0456  3 Pd 2.57-2.64, 1 Al 2.70
Al  0.9663  0.5527  0.2612  3 Pd 2.59-2.64, 1 Al 2.73
Al  0.9663  0.9473  0.2612  3 Pd 2.59-2.64, 1 Al 2.73
Pd  0.0723  0.7500  0.9906  6 Al 2.59-2.64, 1 Ho 2.88
Pd  0.1750  0.2500  0.7128  6 Al 2.57-2.64, 1 Ho 2.88
Pd  0.3250  0.7500  0.2128  6 Al 2.57-2.64, 1 Ho 2.88
Pd  0.4277  0.2500  0.4906  6 Al 2.59-2.64, 1 Ho 2.88
Pd  0.5723  0.7500  0.5094  6 Al 2.59-2.64, 1 Ho 2.88
Pd  0.6750  0.2500  0.7872  6 Al 2.57-2.64, 1 Ho 2.88
Pd  0.8250  0.7500  0.2872  6 Al 2.57-2.64, 1 Ho 2.88
Pd  0.9277  0.2500  0.0094  6 Al 2.59-2.64, 1 Ho 2.88

Values from the calculation:
- Magnetization: 0.00 μB/cell
- Calculated formation energy: -0.77 eV/atom



The following is a DFT calculation (PBE) of a relaxed Ho3Al4Pd2 crystal.

a = 5.7889 Å, b = 5.7889 Å, c = 8.4218 Å
α = 104.52°, β = 104.52°, γ = 43.92°
With the nearest neighbours (Å) after each atom.
Positions (direct):
Ho  0.0000  0.0000  0.0000  8 Al 3.05-3.33, 2 Pd 3.34
Ho  0.3789  0.3789  0.6255  6 Al 2.98-3.26, 4 Pd 3.12-3.32
Ho  0.6211  0.6211  0.3745  6 Al 2.98-3.26, 4 Pd 3.12-3.32
Al  0.0875  0.0875  0.6492  2 Pd 2.52, 2 Al 2.70-2.78
Al  0.2921  0.2921  0.9332  3 Pd 2.56-2.66, 3 Al 2.71-2.78
Al  0.7079  0.7079  0.0668  3 Pd 2.56-2.66, 3 Al 2.71-2.78
Al  0.9125  0.9125  0.3508  2 Pd 2.52, 2 Al 2.70-2.78
Pd  0.3035  0.3035  0.2405  5 Al 2.52-2.66
Pd  0.6965  0.6965  0.7595  5 Al 2.52-2.66

Values from the calculation:
- Magnetization: 0.00 μB/cell
- Calculated formation energy: -0.66 eV/atom



The following is a DFT calculation (PBE) of a relaxed PmHoAlPd crystal.

a = 4.5036 Å, b = 5.9739 Å, c = 5.9739 Å
α = 37.44°, β = 90.00°, γ = 90.00°
With the nearest neighbours (Å) after each atom.
Positions (direct):
Pm  0.0000  0.0000  0.0000  4 Pd 3.11, 3 Al 3.15-3.16
Ho  0.5000  0.7109  0.7109  3 Pd 3.01-3.34, 4 Al 3.06
Al  0.0000  0.2793  0.2793  2 Pd 2.73
Pd  0.5000  0.4156  0.4156  2 Al 2.73, 2 Ho 3.01

Values from the calculation:
- Magnetization: 0.00 μB/cell
- Calculated formation energy: -0.59 eV/atom
- Offset from the most stable computed form: 0 meV per atom



The following is a DFT calculation (PBE) of a relaxed PmHoAlPd crystal.

a = 5.1161 Å, b = 5.1161 Å, c = 5.1161 Å
α = 60.00°, β = 60.00°, γ = 60.00°
With the nearest neighbours (Å) after each atom.
Positions (direct):
Pm  0.0000  0.0000  0.0000  4 Al 3.13, 4 Pd 3.13
Ho  0.5000  0.5000  0.5000  4 Al 3.13, 4 Pd 3.13
Al  0.7500  0.7500  0.7500  4 Ho 3.13, 4 Pm 3.13
Pd  0.2500  0.2500  0.2500  4 Ho 3.13, 4 Pm 3.13

Values from the calculation:
- Magnetization: 0.00 μB/cell
- Calculated formation energy: -0.53 eV/atom
- Offset from the most stable computed form: 55 meV per atom



The following is a DFT calculation (PBE) of a relaxed PmHo2AlPd4 crystal.

a = 8.5982 Å, b = 8.5982 Å, c = 8.5982 Å
α = 32.46°, β = 32.46°, γ = 32.46°
With the nearest neighbours (Å) after each atom.
Positions (direct):
Pm  0.0000  0.0000  0.0000  8 Pd 3.13-3.14
Ho  0.2432  0.2432  0.2432  7 Pd 2.80-2.93
Ho  0.7568  0.7568  0.7568  7 Pd 2.80-2.93
Al  0.5000  0.5000  0.5000  8 Pd 2.62-2.93
Pd  0.1284  0.1284  0.1284  4 Ho 2.80-2.93, 3 Al 2.93, 1 Pm 3.14
Pd  0.3926  0.3926  0.3926  1 Al 2.62, 3 Ho 2.87
Pd  0.6074  0.6074  0.6074  1 Al 2.62, 3 Ho 2.87
Pd  0.8716  0.8716  0.8716  4 Ho 2.80-2.93, 3 Al 2.93, 1 Pm 3.14

Values from the calculation:
- Magnetization: 0.00 μB/cell
- Calculated formation energy: -0.83 eV/atom



The following is a DFT calculation (PBE) of a relaxed PrHoAlPd crystal.

a = 5.1562 Å, b = 5.1562 Å, c = 5.1562 Å
α = 60.00°, β = 60.00°, γ = 60.00°
With the nearest neighbours (Å) after each atom.
Positions (direct):
Pr  0.0000  0.0000  0.0000  4 Pd 3.16, 4 Al 3.16
Ho  0.5000  0.5000  0.5000  4 Al 3.16, 4 Pd 3.16
Al  0.2500  0.2500  0.2500  4 Ho 3.16, 4 Pr 3.16
Pd  0.7500  0.7500  0.7500  4 Ho 3.16, 4 Pr 3.16

Values from the calculation:
- Magnetization: 0.00 μB/cell
- Calculated formation energy: -0.50 eV/atom



The following is a DFT calculation (PBE) of a relaxed HoAl3PdPt crystal.

a = 6.9374 Å, b = 6.9374 Å, c = 5.6889 Å
α = 90.00°, β = 90.00°, γ = 125.56°
With the nearest neighbours (Å) after each atom.
Positions (direct):
Ho  0.2139  0.7861  0.7500  1 Pd 2.68, 2 Pt 2.96
Ho  0.7861  0.2139  0.2500  1 Pd 2.68, 2 Pt 2.96
Al  0.2030  0.2030  0.0000  2 Pd 2.51, 1 Al 2.58, 2 Pt 2.63
Al  0.2030  0.2030  0.5000  2 Pd 2.51, 1 Al 2.58, 2 Pt 2.63
Al  0.3532  0.6468  0.2500  1 Pt 2.55, 1 Pd 2.66
Al  0.6468  0.3532  0.7500  1 Pt 2.55, 1 Pd 2.66
Al  0.7970  0.7970  0.0000  2 Pd 2.51, 1 Al 2.58, 2 Pt 2.63
Al  0.7970  0.7970  0.5000  2 Pd 2.51, 1 Al 2.58, 2 Pt 2.63
Pd  0.4311  0.5689  0.7500  5 Al 2.51-2.66, 1 Ho 2.68
Pd  0.5689  0.4311  0.2500  5 Al 2.51-2.66, 1 Ho 2.68
Pt  0.1463  0.8537  0.2500  5 Al 2.55-2.63
Pt  0.8537  0.1463  0.7500  5 Al 2.55-2.63

Values from the calculation:
- Magnetization: 0.00 μB/cell
- Calculated formation energy: -0.71 eV/atom



The following is a DFT calculation (PBE) of a relaxed Ho2Al4Pd3Pt crystal.

a = 4.1106 Å, b = 4.1106 Å, c = 10.9095 Å
α = 90.00°, β = 90.00°, γ = 90.00°
With the nearest neighbours (Å) after each atom.
Positions (direct):
Ho  0.0000  0.5000  0.2465  6 Pd 3.13-3.45, 8 Al 3.20-3.38, 2 Pt 3.45
Ho  0.5000  0.0000  0.7535  6 Pd 3.13-3.45, 8 Al 3.20-3.38, 2 Pt 3.45
Al  0.0000  0.0000  0.0000  4 Pd 2.56
Al  0.0000  0.5000  0.6319  3 Pd 2.49-2.51, 2 Pt 2.51
Al  0.5000  0.0000  0.3681  3 Pd 2.49-2.51, 2 Pt 2.51
Al  0.5000  0.5000  0.0000  4 Pd 2.56
Pd  0.0000  0.5000  0.8604  5 Al 2.49-2.56
Pd  0.5000  0.0000  0.1396  5 Al 2.49-2.56
Pd  0.5000  0.5000  0.5000  4 Al 2.51
Pt  0.0000  0.0000  0.5000  4 Al 2.51

Values from the calculation:
- Magnetization: 0.00 μB/cell
- Calculated formation energy: -0.91 eV/atom